A:
Density functional theory data (GGA-PBE) for crystalline Co2Mo2Au at its relaxed geometry.

Properties
Calculated volume, Å³ per atom: 15.2
Symmetry: I4/mmm, No. 139

Cell: 5.703 5.703 5.703 Å, 139.95 139.95 57.93°
Positions (direct):
Co (0.107, 0.107, 0.000)
Co (0.893, 0.893, 0.000)
Mo (0.250, 0.750, 0.500)
Mo (0.750, 0.250, 0.500)
Au (0.500, 0.500, 0.000)

---

B:
Density functional theory data (GGA-PBE) for crystalline Co2Mo2Au at its relaxed geometry.

Properties
Calculated volume, Å³ per atom: 14.1
Symmetry: P4/mbm, No. 127

Cell: 7.196 7.196 2.718 Å, 90.00 90.00 90.00°
Positions (direct):
Co (0.124, 0.376, 0.000)
Co (0.376, 0.876, 0.000)
Co (0.624, 0.124, 0.000)
Co (0.876, 0.624, 0.000)
Mo (0.168, 0.668, 0.500)
Mo (0.332, 0.168, 0.500)
Mo (0.668, 0.832, 0.500)
Mo (0.832, 0.332, 0.500)
Au (0.000, 0.000, 0.000)
Au (0.500, 0.500, 0.000)

---

Which one sits at the bottom of the stability order? A does.

---

A:
Density functional theory data (GGA-PBE) for crystalline CoAuN2 at its relaxed geometry.

Properties
Calculated volume, Å³ per atom: 12.2
Symmetry: I-42d, No. 122

Cell: 5.378 5.378 5.378 Å, 126.30 126.30 79.40°
Positions (direct):
Co (0.000, 0.000, 0.000)
Co (0.750, 0.250, 0.500)
Au (0.250, 0.750, 0.500)
Au (0.500, 0.500, 0.000)
N (0.048, 0.625, 0.923)
N (0.375, 0.298, 0.423)
N (0.702, 0.125, 0.077)
N (0.875, 0.952, 0.577)

---

B:
Density functional theory data (GGA-PBE) for crystalline CoAuN2 at its relaxed geometry.

Properties
Calculated volume, Å³ per atom: 10.9
Symmetry: R-3m, No. 166

Cell: 6.338 6.338 6.338 Å, 26.12 26.12 26.12°
Positions (direct):
Co (0.000, 0.000, 0.000)
Au (0.500, 0.500, 0.500)
N (0.387, 0.387, 0.387)
N (0.613, 0.613, 0.613)

---

Which one sits at the bottom of the stability order? A does.

---

A:
Density functional theory data (GGA-PBE) for crystalline CoAuSe2N at its relaxed geometry.

Properties
Calculated volume, Å³ per atom: 20.9
Symmetry: P4/mmm, No. 123

Cell: 5.302 5.302 3.725 Å, 90.00 90.00 90.00°
Positions (direct):
Co (0.000, 0.000, 0.000)
Au (0.500, 0.500, 0.500)
Se (0.000, 0.500, 0.500)
Se (0.500, 0.000, 0.500)
N (0.500, 0.500, 0.000)

---

B:
Density functional theory data (GGA-PBE) for crystalline CoAuSe2N at its relaxed geometry.

Properties
Calculated volume, Å³ per atom: 16.8
Symmetry: P4/mmm, No. 123

Cell: 5.002 5.002 3.351 Å, 90.00 90.00 90.00°
Positions (direct):
Co (0.000, 0.000, 0.000)
Au (0.500, 0.500, 0.500)
Se (0.000, 0.500, 0.000)
Se (0.500, 0.000, 0.000)
N (0.000, 0.000, 0.500)

---

Which one sits at the bottom of the stability order? A does.